Computed, not measured: crystalline AcYGaPb at its relaxed geometry at the GGA-PBE level of DFT.

Computed properties:
* ρ: 8260 kg/m3
* electronic total energy: -4.74 eV/atom
* ΔE_f: -0.42 eV/atom
* SG: F-43m

Unit cell a=5.5238 b=5.5238 c=5.5238 alpha=60.00 beta=60.00 gamma=60.00
Fractional coordinates of all 4 atoms:
Ga1 0.5000 0.5000 0.5000
Pb1 0.0000 0.0000 0.0000
Y1 0.7500 0.7500 0.7500
Ac1 0.2500 0.2500 0.2500